[1]
# SCAN Li3La3Mo2O12, single point on PBEsol structure
# Total magnetic moment   0.00 Bohr magnetons per cell
# Final energy   -2712.4 eV per cell
data_Li3La3Mo2O12
_cell_length_a 12.522
_cell_length_b 12.522
_cell_length_c 12.522
_cell_angle_alpha 90.00
_cell_angle_beta 90.00
_cell_angle_gamma 90.00
_space_group_name_H-M_alt 'I a -3 d'
_space_group_IT_number 230
_space_group_name_Hall '-I 4bd 2c 3'
loop_
_atom_site_label
_atom_site_type_symbol
_atom_site_fract_x
_atom_site_fract_y
_atom_site_fract_z
Li1 Li 0.000 0.250 0.375
La1 La 0.000 0.250 0.125
Mo1 Mo 0.000 0.000 0.000
O1 O 0.029 0.051 0.642

[2]
# SCAN RbFeTc3, single point on PBEsol structure
# Total magnetic moment   3.69 Bohr magnetons per cell
# Formation enthalpy at 0 K   1.746 eV/atom
data_RbFeTc3
_cell_length_a 4.533
_cell_length_b 4.533
_cell_length_c 4.533
_cell_angle_alpha 90.00
_cell_angle_beta 90.00
_cell_angle_gamma 90.00
_space_group_name_H-M_alt 'P m -3 m'
_space_group_IT_number 221
_space_group_name_Hall '-P 4 2 3'
loop_
_atom_site_label
_atom_site_type_symbol
_atom_site_fract_x
_atom_site_fract_y
_atom_site_fract_z
Rb1 Rb 0.000 0.000 0.000
Fe1 Fe 0.500 0.500 0.500
Tc1 Tc 0.000 0.500 0.500

[3]
# SCAN CaY2Cl, single point on PBEsol structure
# Total magnetic moment   5.57 Bohr magnetons per cell
# E above lowest polymorph   433 meV/atom
data_CaY2Cl
_cell_length_a 4.608
_cell_length_b 4.608
_cell_length_c 11.074
_cell_angle_alpha 90.00
_cell_angle_beta 90.00
_cell_angle_gamma 90.00
_space_group_name_H-M_alt 'I -4 m 2'
_space_group_IT_number 119
_space_group_name_Hall 'I -4 -2'
loop_
_atom_site_label
_atom_site_type_symbol
_atom_site_fract_x
_atom_site_fract_y
_atom_site_fract_z
Ca1 Ca 0.000 0.000 0.000
Y1 Y 0.000 0.000 0.500
Y2 Y 0.000 0.500 0.750
Cl1 Cl 0.000 0.500 0.250

[4]
# SCAN CdCu4Pb, single point on PBEsol structure
# Total magnetic moment   0.00 Bohr magnetons per cell
# Formation enthalpy at 0 K   0.116 eV/atom
data_CdCu4Pb
_cell_length_a 7.110
_cell_length_b 7.110
_cell_length_c 7.110
_cell_angle_alpha 90.00
_cell_angle_beta 90.00
_cell_angle_gamma 90.00
_space_group_name_H-M_alt 'F -4 3 m'
_space_group_IT_number 216
_space_group_name_Hall 'F -4 2 3'
loop_
_atom_site_label
_atom_site_type_symbol
_atom_site_fract_x
_atom_site_fract_y
_atom_site_fract_z
Cd1 Cd 0.000 0.000 0.000
Cu1 Cu 0.126 0.126 0.374
Pb1 Pb 0.250 0.250 0.750

[5]
# SCAN Mg2SbPb, single point on PBEsol structure
# Total magnetic moment   0.00 Bohr magnetons per cell
# E above lowest polymorph   11 meV/atom
data_Mg2SbPb
_cell_length_a 3.433
_cell_length_b 4.158
_cell_length_c 6.852
_cell_angle_alpha 90.00
_cell_angle_beta 90.23
_cell_angle_gamma 90.00
_space_group_name_H-M_alt 'P 1 2/m 1'
_space_group_IT_number 10
loop_
_space_group_symop_operation_xyz
'x,y,z'
'-x,-y,-z'
'-x,y,-z'
'x,-y,z'
loop_
_atom_site_label
_atom_site_type_symbol
_atom_site_fract_x
_atom_site_fract_y
_atom_site_fract_z
Mg1 Mg 0.000 0.000 0.237
Sb1 Sb 0.500 0.500 0.000
Pb1 Pb 0.500 0.500 0.500

[6]
# SCAN La2CuSe, single point on PBEsol structure
# Total magnetic moment   2.24 Bohr magnetons per cell
# Final energy   -372.5 eV per cell
data_La2CuSe
_cell_length_a 4.0286
_cell_length_b 4.0286
_cell_length_c 22.3470
_cell_angle_alpha 90.00
_cell_angle_beta 90.00
_cell_angle_gamma 120.00
_space_group_name_H-M_alt 'R 3 m'
_space_group_IT_number 160
_space_group_name_Hall 'R 3 -2"'
loop_
_atom_site_label
_atom_site_type_symbol
_atom_site_fract_x
_atom_site_fract_y
_atom_site_fract_z
La1 La 0.0000 0.0000 0.0000
La2 La 0.0000 0.0000 0.1943
Cu1 Cu 0.0000 0.0000 0.7631
Se1 Se 0.0000 0.0000 0.4314

[7]
# SCAN Tm2Ge2O7, single point on PBEsol structure
# Total magnetic moment   0.00 Bohr magnetons per cell
# Final energy   -869.0 eV per cell
data_Tm2Ge2O7
_cell_length_a 6.721
_cell_length_b 6.721
_cell_length_c 12.217
_cell_angle_alpha 90.00
_cell_angle_beta 90.00
_cell_angle_gamma 90.00
_space_group_name_H-M_alt 'P 41 21 2'
_space_group_IT_number 92
loop_
_space_group_symop_operation_xyz
'x,y,z'
'-y+1/2,x+1/2,z+1/4'
'-x,-y,z+1/2'
'y+1/2,-x+1/2,z+3/4'
'x+1/2,-y+1/2,-z+3/4'
'-y,-x,-z+1/2'
'-x+1/2,y+1/2,-z+1/4'
'y,x,-z'
loop_
_atom_site_label
_atom_site_type_symbol
_atom_site_fract_x
_atom_site_fract_y
_atom_site_fract_z
Tm1 Tm 0.128 0.355 0.114
Ge1 Ge 0.101 0.150 0.633
O1 O 0.036 0.079 0.870
O2 O 0.068 0.662 0.179
O3 O 0.145 0.323 0.293
O4 O 0.198 0.198 0.500

[8]
# SCAN NiMoAs2, single point on PBEsol structure
# Total magnetic moment   0.00 Bohr magnetons per cell
# Formation enthalpy at 0 K   0.031 eV/atom
data_NiMoAs2
_cell_length_a 4.212
_cell_length_b 4.212
_cell_length_c 3.157
_cell_angle_alpha 90.00
_cell_angle_beta 90.00
_cell_angle_gamma 90.00
_space_group_name_H-M_alt 'P 4/m m m'
_space_group_IT_number 123
_space_group_name_Hall '-P 4 2'
loop_
_atom_site_label
_atom_site_type_symbol
_atom_site_fract_x
_atom_site_fract_y
_atom_site_fract_z
Ni1 Ni 0.000 0.000 0.000
Mo1 Mo 0.500 0.500 0.000
As1 As 0.000 0.500 0.500